Below is a relaxed structure of BeCuSb, with properties calculated at the PBE level.

Properties
Formation energy from raw total energies ... 40 kJ/mol of formula units
E_tot ... -0.2825 Ry/atom
Spin magnetization ... 0.00 Bohr magnetons per cell
Crystal system ... triclinic
V ... 104 Å³ per cell

Unit cell a=4.1573 b=4.2190 c=6.3702 alpha=76.02 beta=79.70 gamma=74.98
With the nearest neighbours (Å) after each atom.
Space group P1 (No. 1)
Inequivalent atoms, fractional coordinates:
1 Be 0.0000 0.0000 0.0000  3 Cu 2.27-2.40, 1 Be 2.45, 1 Sb 2.53
2 Be 0.4217 0.3342 0.0180  3 Cu 2.31-2.48, 2 Be 2.45-2.55, 1 Sb 2.52
3 Cu 0.6534 0.9550 0.3448  2 Be 2.40-2.48, 2 Cu 2.53-2.56, 3 Sb 2.64-2.67
4 Cu 0.8543 0.4751 0.1367  4 Be 2.27-2.37, 1 Cu 2.53
5 Sb 0.2540 0.5387 0.3929  5 Cu 2.63-2.72, 1 Be 2.65
6 Sb 0.5780 0.8960 0.7864  4 Be 2.52-2.64, 2 Cu 2.72-2.73

Below is a relaxed structure of BeCuSb2, with properties calculated at the PBE level.

Properties
Formation energy from raw total energies ... 184 kJ/mol of formula units
E_tot ... -0.2603 Ry/atom
Spin magnetization ... 0.00 Bohr magnetons per cell
Crystal system ... orthorhombic
V ... 78 Å³ per cell

Unit cell a=3.7593 b=3.8146 c=5.4729 alpha=90.00 beta=90.00 gamma=90.00
With the nearest neighbours (Å) after each atom.
Space group Pmmm (No. 47)
Inequivalent atoms, fractional coordinates:
1 Be 0.0000 0.0000 0.0000  4 Sb 2.68
2 Cu 0.0000 0.5000 0.5000  4 Sb 2.68
3 Sb 0.5000 0.0000 0.5000  4 Cu 2.68
4 Sb 0.5000 0.5000 0.0000  4 Be 2.68

Below is a relaxed structure of Be2CuSb, with properties calculated at the PBE level.

Properties
Formation energy from raw total energies ... 139 kJ/mol of formula units
E_tot ... -0.2615 Ry/atom
Spin magnetization ... 0.00 Bohr magnetons per cell
Crystal system ... tetragonal
V ... 242 Å³ per cell

Unit cell a=3.9447 b=3.9447 c=15.5597 alpha=90.00 beta=90.00 gamma=90.00
With the nearest neighbours (Å) after each atom.
Space group I-42d (No. 122)
Inequivalent atoms, fractional coordinates:
1 Be 0.1408 0.2500 0.1250  2 Cu 2.25, 2 Be 2.26
2 Cu 0.0000 0.0000 0.0000  4 Be 2.25
3 Sb 0.0000 0.0000 0.5000  4 Be 2.60, 4 Cu 2.79

Below is a relaxed structure of Be2CuSb, with properties calculated at the PBE level.

Properties
Formation energy from raw total energies ... 117 kJ/mol of formula units
E_tot ... -0.2657 Ry/atom
Spin magnetization ... 0.00 Bohr magnetons per cell
Crystal system ... trigonal
V ... 175 Å³ per cell

Unit cell a=3.8880 b=3.8880 c=13.3762 alpha=90.00 beta=90.00 gamma=120.00
With the nearest neighbours (Å) after each atom.
Space group R-3m (No. 166, hexagonal axes)
Inequivalent atoms, fractional coordinates:
1 Be 0.0000 0.0000 0.1953  3 Cu 2.28, 3 Be 2.37
2 Cu 0.0000 0.0000 0.5000  6 Be 2.28
3 Sb 0.0000 0.0000 0.0000  8 Be 2.61-2.91

Below is a relaxed structure of Be2CuSb, with properties calculated at the PBE level.

Properties
Formation energy from raw total energies ... 179 kJ/mol of formula units
E_tot ... -0.2539 Ry/atom
Spin magnetization ... 0.00 Bohr magnetons per cell
Crystal system ... tetragonal
V ... 111 Å³ per cell

Unit cell a=3.8301 b=3.8301 c=7.5671 alpha=90.00 beta=90.00 gamma=90.00
With the nearest neighbours (Å) after each atom.
Space group I4/mmm (No. 139)
Inequivalent atoms, fractional coordinates:
1 Be 0.0000 0.5000 0.2500  4 Sb 2.69, 4 Cu 2.69, 4 Be 2.71
2 Cu 0.0000 0.0000 0.0000  8 Be 2.69, 4 Sb 2.71
3 Sb 0.0000 0.0000 0.5000  8 Be 2.69, 4 Cu 2.71

Below is a relaxed structure of BeCuSb, with properties calculated at the PBE level.

Properties
Formation energy from raw total energies ... 43 kJ/mol of formula units
E_tot ... -0.2816 Ry/atom
Spin magnetization ... 0.00 Bohr magnetons per cell
Crystal system ... monoclinic
V ... 104 Å³ per cell

Unit cell a=4.4063 b=3.7889 c=6.2372 alpha=90.00 beta=91.50 gamma=90.00
With the nearest neighbours (Å) after each atom.
Space group P2_1/m (No. 11)
Inequivalent atoms, fractional coordinates:
1 Be 0.1304 0.2500 0.4874  2 Be 2.22, 4 Cu 2.30-2.37
2 Cu 0.3817 0.7500 0.6338  4 Be 2.30-2.37
3 Sb 0.2325 0.7500 0.2002  3 Be 2.55-2.65, 3 Cu 2.73-2.77

Below is a relaxed structure of BeCuSb, with properties calculated at the PBE level.

Properties
Formation energy from raw total energies ... 29 kJ/mol of formula units
E_tot ... -0.2853 Ry/atom
Spin magnetization ... 0.00 Bohr magnetons per cell
Crystal system ... triclinic
V ... 96 Å³ per cell

Unit cell a=3.9503 b=4.3874 c=6.2086 alpha=109.55 beta=108.34 gamma=90.17
With the nearest neighbours (Å) after each atom.
Space group P1 (No. 1)
Inequivalent atoms, fractional coordinates:
1 Be 0.0000 0.0000 0.0000  4 Cu 2.37-2.44, 2 Be 2.38-2.39
2 Be 0.3997 0.0774 0.7995  3 Cu 2.30-2.52, 2 Be 2.38-2.39, 2 Sb 2.56
3 Cu 0.4915 0.6903 0.9808  4 Be 2.30-2.52, 1 Cu 2.46
4 Cu 0.6061 0.2787 0.2165  3 Be 2.30-2.44, 1 Cu 2.46
5 Sb 0.1666 0.7179 0.3342  2 Be 2.64-2.67, 4 Cu 2.67-2.84
6 Sb 0.8438 0.3630 0.6832  4 Be 2.56-2.85, 3 Cu 2.64-2.70

Below is a relaxed structure of BeCu2Sb, with properties calculated at the PBE level.

Properties
Formation energy from raw total energies ... 81 kJ/mol of formula units
E_tot ... -0.2792 Ry/atom
Relative energy among the computed polymorphs ... 0.0130 eV per atom
Spin magnetization ... 0.00 Bohr magnetons per cell
Crystal system ... monoclinic
V ... 119 Å³ per cell

Unit cell a=7.7948 b=3.7896 c=4.1797 alpha=90.00 beta=105.80 gamma=90.00
With the nearest neighbours (Å) after each atom.
Space group C2/m (No. 12)
Inequivalent atoms, fractional coordinates:
1 Be 0.0000 0.0000 0.0000  2 Cu 2.34
2 Cu 0.2441 0.5000 0.1886  1 Be 2.34, 2 Cu 2.48, 1 Sb 2.58
3 Sb 0.0000 0.5000 0.5000  6 Cu 2.58-2.80, 4 Be 2.82

Below is a relaxed structure of BeCuSb2, with properties calculated at the PBE level.

Properties
Formation energy from raw total energies ... 125 kJ/mol of formula units
E_tot ... -0.2714 Ry/atom
Spin magnetization ... 0.00 Bohr magnetons per cell
Crystal system ... tetragonal
V ... 379 Å³ per cell

Unit cell a=5.7893 b=5.7893 c=11.3056 alpha=90.00 beta=90.00 gamma=90.00
With the nearest neighbours (Å) after each atom.
Space group I-42d (No. 122)
Inequivalent atoms, fractional coordinates:
1 Be 0.0000 0.0000 0.0000  4 Sb 2.42
2 Cu 0.0000 0.0000 0.5000  4 Sb 2.56
3 Sb 0.2292 0.2500 0.1250  2 Be 2.42, 2 Cu 2.56

Below is a relaxed structure of Be2CuSb, with properties calculated at the PBE level.

Properties
Formation energy from raw total energies ... 111 kJ/mol of formula units
E_tot ... -0.2668 Ry/atom
Spin magnetization ... 0.00 Bohr magnetons per cell
Crystal system ... monoclinic
V ... 116 Å³ per cell

Unit cell a=7.3208 b=3.7148 c=4.3732 alpha=90.00 beta=102.77 gamma=90.00
With the nearest neighbours (Å) after each atom.
Space group Cm (No. 8)
Inequivalent atoms, fractional coordinates:
1 Be 0.0000 0.0000 0.0000  3 Be 2.21-2.38, 1 Cu 2.26
2 Be 0.2085 0.5000 0.0650  3 Be 2.21-2.38, 2 Cu 2.24
3 Cu 0.2655 0.0000 0.8152  3 Be 2.24-2.26
4 Sb 0.9995 0.5000 0.4424  3 Be 2.49-2.68, 1 Cu 2.61

Below is a relaxed structure of BeCuSb, with properties calculated at the PBE level.

Properties
Formation energy from raw total energies ... 67 kJ/mol of formula units
E_tot ... -0.2757 Ry/atom
Spin magnetization ... 0.00 Bohr magnetons per cell
Crystal system ... orthorhombic
V ... 204 Å³ per cell

Unit cell a=9.5638 b=4.5713 c=4.6665 alpha=90.00 beta=90.00 gamma=90.00
With the nearest neighbours (Å) after each atom.
Space group Pnma (No. 62)
Inequivalent atoms, fractional coordinates:
1 Be 0.0000 0.0000 0.0000  2 Be 2.29, 2 Cu 2.35, 2 Sb 2.50
2 Cu 0.0584 0.2500 0.4232  2 Be 2.35
3 Sb 0.1895 0.7500 0.2742  2 Be 2.50, 3 Cu 2.70-2.76

Below is a relaxed structure of BeCuSb2, with properties calculated at the PBE level.

Properties
Formation energy from raw total energies ... 100 kJ/mol of formula units
E_tot ... -0.2762 Ry/atom
Spin magnetization ... 0.00 Bohr magnetons per cell
Crystal system ... monoclinic
V ... 152 Å³ per cell

Unit cell a=6.4623 b=3.7419 c=6.6534 alpha=90.00 beta=108.92 gamma=90.00
With the nearest neighbours (Å) after each atom.
Space group C2/m (No. 12)
Inequivalent atoms, fractional coordinates:
1 Be 0.0000 0.0000 0.0000  6 Sb 2.60-2.61
2 Cu 0.0000 0.5000 0.5000  6 Sb 2.73
3 Sb 0.2450 0.5000 0.2332  3 Be 2.60-2.61, 3 Cu 2.73

> Which of these has the lowest formation energy from raw total energies?

number 7

> The lowest V belongs to which entry?

number 2

> What is the formula in the third record?

Be2CuSb